No. 1
# K2Ag3Cl6 GGA-PBE optimized geometry
# Theoretical density ... 3.6 g cm⁻³
# E_form (uncorrected) ... -1003 kJ/mol of formula units
# M_tot ... 0.0 μB per formula unit
data_K2Ag3Cl6
_cell_length_a 8.0769
_cell_length_b 8.0769
_cell_length_c 5.0584
_cell_angle_alpha 90.00
_cell_angle_beta 90.00
_cell_angle_gamma 120.00
_symmetry_space_group_name_H-M 'P -6 2 m'
_symmetry_Int_Tables_number 189
_symmetry_space_group_name_Hall 'P -6 -2'
loop_
_atom_site_label
_atom_site_type_symbol
_atom_site_fract_x
_atom_site_fract_y
_atom_site_fract_z
K1 K 0.3333 0.6667 0.0000
Ag1 Ag 0.0000 0.7682 0.5000
Cl1 Cl 0.0000 0.3808 0.5000
Cl2 Cl 0.0000 0.7408 0.0000

No. 2
# La2Zn3Pt GGA-PBE optimized geometry
# Theoretical density ... 8.1 g cm⁻³
# ΔE_f ... -3.73 eV/f.u.
# M_tot ... 0.0 μB per formula unit
data_La2Zn3Pt
_cell_length_a 7.6334
_cell_length_b 9.1579
_cell_length_c 15.6086
_cell_angle_alpha 90.00
_cell_angle_beta 90.00
_cell_angle_gamma 90.00
_symmetry_space_group_name_H-M 'F m m m'
_symmetry_Int_Tables_number 69
_symmetry_space_group_name_Hall '-F 2 2'
loop_
_atom_site_label
_atom_site_type_symbol
_atom_site_fract_x
_atom_site_fract_y
_atom_site_fract_z
La1 La 0.2404 0.0000 0.0000
La2 La 0.2500 0.2500 0.2500
Zn1 Zn 0.0000 0.0000 0.3339
Zn2 Zn 0.0000 0.2475 0.4170
Pt1 Pt 0.0000 0.0000 0.1647

No. 3
# K2DyHoSe4 GGA-PBE optimized geometry
# Theoretical density ... 5.1 g cm⁻³
# E_form (uncorrected) ... -1361 kJ/mol of formula units
# M_tot ... 0.0 μB per formula unit
data_K2DyHoSe4
_cell_length_a 7.2818
_cell_length_b 4.2049
_cell_length_c 8.0526
_cell_angle_alpha 90.00
_cell_angle_beta 107.53
_cell_angle_gamma 90.00
_symmetry_space_group_name_H-M 'P 1 2/m 1'
_symmetry_Int_Tables_number 10
loop_
_symmetry_equiv_pos_as_xyz
'x,y,z'
'-x,-y,-z'
'-x,y,-z'
'x,-y,z'
loop_
_atom_site_label
_atom_site_type_symbol
_atom_site_fract_x
_atom_site_fract_y
_atom_site_fract_z
K1 K 0.0000 0.0000 0.0000
K2 K 0.5000 0.5000 0.0000
Dy1 Dy 0.0000 0.5000 0.5000
Ho1 Ho 0.5000 0.0000 0.5000
Se1 Se 0.2358 0.0000 0.7050
Se2 Se 0.2662 0.5000 0.2955

No. 4
# Sr2H2Pt GGA-PBE optimized geometry
# Theoretical density ... 6.9 g cm⁻³
# M_tot ... 0.0 μB per formula unit
# E_tot ... -0.135 Ha/atom
data_Sr2H2Pt
_cell_length_a 7.3296
_cell_length_b 7.3296
_cell_length_c 3.3269
_cell_angle_alpha 90.00
_cell_angle_beta 90.00
_cell_angle_gamma 90.00
_symmetry_space_group_name_H-M 'P 4/m b m'
_symmetry_Int_Tables_number 127
_symmetry_space_group_name_Hall '-P 4 2ab'
loop_
_atom_site_label
_atom_site_type_symbol
_atom_site_fract_x
_atom_site_fract_y
_atom_site_fract_z
Sr1 Sr 0.1798 0.3202 0.0000
H1 H 0.1185 0.6185 0.5000
Pt1 Pt 0.0000 0.0000 0.5000

No. 5
# Y3Cu2Pd GGA-PBE optimized geometry
# Theoretical density ... 6.5 g cm⁻³
# ΔE_f ... -2.71 eV/f.u.
# M_tot ... 0.0 μB per formula unit
data_Y3Cu2Pd
_cell_length_a 4.9373
_cell_length_b 14.8527
_cell_length_c 3.5066
_cell_angle_alpha 90.00
_cell_angle_beta 90.00
_cell_angle_gamma 90.00
_symmetry_space_group_name_H-M 'C m m m'
_symmetry_Int_Tables_number 65
_symmetry_space_group_name_Hall '-C 2 2'
loop_
_atom_site_label
_atom_site_type_symbol
_atom_site_fract_x
_atom_site_fract_y
_atom_site_fract_z
Y1 Y 0.0000 0.0000 0.0000
Y2 Y 0.0000 0.3330 0.0000
Cu1 Cu 0.0000 0.1681 0.5000
Pd1 Pd 0.0000 0.5000 0.5000

No. 6
# Mn2AlSb GGA-PBE optimized geometry
# Theoretical density ... 7.7 g cm⁻³
# E_form (uncorrected) ... 52 kJ/mol of formula units
# M_tot ... 1.8 μB per formula unit
data_Mn2AlSb
_cell_length_a 6.0601
_cell_length_b 6.0601
_cell_length_c 6.0601
_cell_angle_alpha 90.00
_cell_angle_beta 90.00
_cell_angle_gamma 90.00
_symmetry_space_group_name_H-M 'F m -3 m'
_symmetry_Int_Tables_number 225
_symmetry_space_group_name_Hall '-F 4 2 3'
loop_
_atom_site_label
_atom_site_type_symbol
_atom_site_fract_x
_atom_site_fract_y
_atom_site_fract_z
Mn1 Mn 0.2500 0.2500 0.2500
Al1 Al 0.0000 0.0000 0.0000
Sb1 Sb 0.0000 0.0000 0.5000

No. 7
# CaPm4Sm3Se8 GGA-PBE optimized geometry
# Theoretical density ... 6.8 g cm⁻³
# E_form (uncorrected) ... -2842 kJ/mol of formula units
# M_tot ... 0.0 μB per formula unit
data_CaPm4Sm3Se8
_cell_length_a 8.3693
_cell_length_b 8.3693
_cell_length_c 20.5362
_cell_angle_alpha 90.00
_cell_angle_beta 90.00
_cell_angle_gamma 120.00
_symmetry_space_group_name_H-M 'R -3 m'
_symmetry_Int_Tables_number 166
_symmetry_space_group_name_Hall '-R 3 2"'
loop_
_atom_site_label
_atom_site_type_symbol
_atom_site_fract_x
_atom_site_fract_y
_atom_site_fract_z
Ca1 Ca 0.0000 0.0000 0.0000
Pm1 Pm 0.0000 0.0000 0.5000
Pm2 Pm 0.0000 0.5000 0.5000
Sm1 Sm 0.0000 0.5000 0.0000
Se1 Se 0.0000 0.0000 0.2507
Se2 Se 0.0027 0.5013 0.7486

No. 8
# Pm3Au GGA-PBE optimized geometry
# Theoretical density ... 8.8 g cm⁻³
# ΔE_f ... -1.41 eV/f.u.
# M_tot ... 0.0 μB per formula unit
data_Pm3Au
_cell_length_a 12.2687
_cell_length_b 12.2687
_cell_length_c 6.3365
_cell_angle_alpha 90.00
_cell_angle_beta 90.00
_cell_angle_gamma 90.00
_symmetry_space_group_name_H-M 'I -4'
_symmetry_Int_Tables_number 82
loop_
_symmetry_equiv_pos_as_xyz
'x,y,z'
'y,-x,-z'
'-x,-y,z'
'-y,x,-z'
'x+1/2,y+1/2,z+1/2'
'y+1/2,-x+1/2,-z+1/2'
'-x+1/2,-y+1/2,z+1/2'
'-y+1/2,x+1/2,-z+1/2'
loop_
_atom_site_label
_atom_site_type_symbol
_atom_site_fract_x
_atom_site_fract_y
_atom_site_fract_z
Pm1 Pm 0.0045 0.1410 0.2537
Pm2 Pm 0.0922 0.6005 0.4951
Pm3 Pm 0.1997 0.7087 0.9927
Au1 Au 0.0067 0.2074 0.7539

No. 9
# Tl6Hg2AuSe GGA-PBE optimized geometry
# Theoretical density ... 10.4 g cm⁻³
# E_form (uncorrected) ... -64 kJ/mol of formula units
# M_tot ... 0.0 μB per formula unit
data_Tl6Hg2AuSe
_cell_length_a 6.7341
_cell_length_b 6.8913
_cell_length_c 6.9400
_cell_angle_alpha 107.64
_cell_angle_beta 97.60
_cell_angle_gamma 92.17
_symmetry_space_group_name_H-M 'P 1'
_symmetry_Int_Tables_number 1
loop_
_symmetry_equiv_pos_as_xyz
'x,y,z'
loop_
_atom_site_label
_atom_site_type_symbol
_atom_site_fract_x
_atom_site_fract_y
_atom_site_fract_z
Tl1 Tl 0.0000 0.0000 0.0000
Tl2 Tl 0.0268 0.3645 0.4661
Tl3 Tl 0.3978 0.7210 0.4437
Tl4 Tl 0.5167 0.2235 0.4317
Tl5 Tl 0.6235 0.3583 0.9991
Tl6 Tl 0.8846 0.8373 0.4060
Hg1 Hg 0.1368 0.4875 0.9981
Hg2 Hg 0.4495 0.8613 0.9930
Au1 Au 0.2480 0.1028 0.7062
Se1 Se 0.7504 0.6246 0.7363

No. 10
# HfZnCoRu GGA-PBE optimized geometry
# Theoretical density ... 11.5 g cm⁻³
# ΔE_f ... -1.29 eV/f.u.
# M_tot ... 0.0 μB per formula unit
data_HfZnCoRu
_cell_length_a 6.1577
_cell_length_b 6.1577
_cell_length_c 6.1577
_cell_angle_alpha 90.00
_cell_angle_beta 90.00
_cell_angle_gamma 90.00
_symmetry_space_group_name_H-M 'F -4 3 m'
_symmetry_Int_Tables_number 216
_symmetry_space_group_name_Hall 'F -4 2 3'
loop_
_atom_site_label
_atom_site_type_symbol
_atom_site_fract_x
_atom_site_fract_y
_atom_site_fract_z
Hf1 Hf 0.0000 0.0000 0.0000
Zn1 Zn 0.0000 0.0000 0.5000
Co1 Co 0.2500 0.2500 0.7500
Ru1 Ru 0.2500 0.2500 0.2500

| no. | Fermi-level density of states (states/eV/atom) |
| --- | --- |
| 1 | 0.55 |
| 2 | 0.70 |
| 3 | 0.00 |
| 4 | 0.00 |
| 5 | 0.76 |
| 6 | 1.07 |
| 7 | 0.53 |
| 8 | 1.72 |
| 9 | 0.39 |
| 10 | 1.00 |